# CsK2C2O6

An optimized crystal structure of CsK2C2O6 (PBE, Alexandria). Values from VASP.

The structure in Quantum ESPRESSO input format:
```
&SYSTEM
  ibrav = 0, nat = 11, ntyp = 4
/
ATOMIC_SPECIES
Cs 132.91 Cs.upf
K 39.10 K.upf
C 12.01 C.upf
O 16.00 O.upf
ATOMIC_POSITIONS crystal
Cs 0.000 0.000 0.000
K 0.377 0.292 0.672
K 0.623 0.708 0.328
C 0.302 0.754 0.719
C 0.698 0.246 0.281
O 0.140 0.851 0.630
O 0.316 0.683 0.891
O 0.454 0.727 0.636
O 0.546 0.273 0.364
O 0.684 0.317 0.109
O 0.860 0.149 0.370
CELL_PARAMETERS angstrom
6.080 0.000 0.000
-1.650 6.317 0.000
-2.797 -1.666 5.967
```

Results
Uncorrected formation energy: -1.62 eV/atom


# CsKTi2C

An optimized crystal structure of CsKTi2C (PBE, Alexandria). Values from VASP.

The structure in Quantum ESPRESSO input format:
```
&SYSTEM
  ibrav = 0, nat = 5, ntyp = 4
/
ATOMIC_SPECIES
Cs 132.91 Cs.upf
K 39.10 K.upf
Ti 47.87 Ti.upf
C 12.01 C.upf
ATOMIC_POSITIONS crystal
Cs 0.000 0.000 0.000
K 0.000 0.000 0.500
Ti 0.000 0.500 0.000
Ti 0.500 0.000 0.000
C 0.500 0.500 0.500
CELL_PARAMETERS angstrom
5.106 0.000 0.000
0.000 5.106 0.000
0.000 0.000 6.556
```

Results
Energy of formation from the pure elements: 15.12 eV/f.u.


# CsLaC3

An optimized crystal structure of CsLaC3 (PBE, Alexandria). Values from VASP.

The structure in Quantum ESPRESSO input format:
```
&SYSTEM
  ibrav = 0, nat = 5, ntyp = 3
/
ATOMIC_SPECIES
Cs 132.91 Cs.upf
La 138.91 La.upf
C 12.01 C.upf
ATOMIC_POSITIONS crystal
Cs 0.000 0.000 0.000
La 0.500 0.500 0.500
C 0.000 0.000 0.500
C 0.000 0.500 0.000
C 0.500 0.000 0.000
CELL_PARAMETERS angstrom
4.532 0.000 0.000
0.000 4.532 0.000
0.000 0.000 4.532
```

Results
Energy of formation from the pure elements: 14.74 eV/f.u.
Energy above the lowest structure with this stoichiometry: 557 meV/atom


# CsLaC3

An optimized crystal structure of CsLaC3 (PBE, Alexandria). Values from VASP.

The structure in Quantum ESPRESSO input format:
```
&SYSTEM
  ibrav = 0, nat = 5, ntyp = 3
/
ATOMIC_SPECIES
Cs 132.91 Cs.upf
La 138.91 La.upf
C 12.01 C.upf
ATOMIC_POSITIONS crystal
Cs 0.000 0.000 0.000
La 0.500 0.500 0.500
C 0.000 0.500 0.500
C 0.500 0.000 0.500
C 0.500 0.500 0.000
CELL_PARAMETERS angstrom
4.864 0.000 0.000
0.000 4.864 0.000
0.000 0.000 4.864
```

Results
Energy of formation from the pure elements: 11.95 eV/f.u.
Energy above the lowest structure with this stoichiometry: 0 meV/atom


# CsLaC2

An optimized crystal structure of CsLaC2 (PBE, Alexandria). Values from VASP.

The structure in Quantum ESPRESSO input format:
```
&SYSTEM
  ibrav = 0, nat = 16, ntyp = 3
/
ATOMIC_SPECIES
Cs 132.91 Cs.upf
La 138.91 La.upf
C 12.01 C.upf
ATOMIC_POSITIONS crystal
Cs 0.000 0.000 0.000
Cs 0.000 0.500 0.250
Cs 0.500 0.000 0.750
Cs 0.500 0.500 0.500
La 0.000 0.000 0.500
La 0.000 0.500 0.750
La 0.500 0.000 0.250
La 0.500 0.500 0.000
C 0.062 0.250 0.625
C 0.250 0.562 0.875
C 0.250 0.938 0.375
C 0.438 0.250 0.125
C 0.562 0.750 0.125
C 0.750 0.062 0.375
C 0.750 0.438 0.875
C 0.938 0.750 0.625
CELL_PARAMETERS angstrom
5.805 0.000 0.000
0.000 5.805 0.000
0.000 0.000 14.590
```

Results
Energy of formation from the pure elements: 6.26 eV/f.u.


# CsLi2LaC

An optimized crystal structure of CsLi2LaC (PBE, Alexandria). Values from VASP.

The structure in Quantum ESPRESSO input format:
```
&SYSTEM
  ibrav = 0, nat = 5, ntyp = 4
/
ATOMIC_SPECIES
Cs 132.91 Cs.upf
Li 6.94 Li.upf
La 138.91 La.upf
C 12.01 C.upf
ATOMIC_POSITIONS crystal
Cs 0.000 0.000 0.000
Li 0.000 0.500 0.500
Li 0.500 0.000 0.500
La 0.500 0.500 0.500
C 0.500 0.500 0.000
CELL_PARAMETERS angstrom
6.849 0.000 0.000
0.000 6.849 0.000
0.000 0.000 4.462
```

Results
Energy of formation from the pure elements: 4.44 eV/f.u.


# CsLi3C

An optimized crystal structure of CsLi3C (PBE, Alexandria). Values from VASP.

The structure in Quantum ESPRESSO input format:
```
&SYSTEM
  ibrav = 0, nat = 5, ntyp = 3
/
ATOMIC_SPECIES
Cs 132.91 Cs.upf
Li 6.94 Li.upf
C 12.01 C.upf
ATOMIC_POSITIONS crystal
Cs 0.000 0.000 0.000
Li 0.000 0.000 0.500
Li 0.000 0.500 0.000
Li 0.500 0.000 0.000
C 0.500 0.500 0.500
CELL_PARAMETERS angstrom
5.137 0.000 0.000
0.000 5.137 0.000
0.000 0.000 5.137
```

Results
Energy of formation from the pure elements: 10.72 eV/f.u.
Energy above the lowest structure with this stoichiometry: 1627 meV/atom


# CsLi3C

An optimized crystal structure of CsLi3C (PBE, Alexandria). Values from VASP.

The structure in Quantum ESPRESSO input format:
```
&SYSTEM
  ibrav = 0, nat = 5, ntyp = 3
/
ATOMIC_SPECIES
Cs 132.91 Cs.upf
Li 6.94 Li.upf
C 12.01 C.upf
ATOMIC_POSITIONS crystal
Cs 0.000 0.000 0.000
Li 0.000 0.500 0.500
Li 0.500 0.000 0.500
Li 0.500 0.500 0.000
C 0.500 0.500 0.500
CELL_PARAMETERS angstrom
4.515 0.000 0.000
0.000 4.515 0.000
0.000 0.000 4.515
```

Results
Energy of formation from the pure elements: 2.58 eV/f.u.
Energy above the lowest structure with this stoichiometry: 0 meV/atom